DyV2GaO8 (PBE+U, optimized geometry); final energy = -87.6 eV/cell; SG = I-4m2; size of the total moment = 0.000 μB per formula unit
1.0
-1.629 3.225 -4.551
-1.169 -5.662 -0.585
-2.966 1.908 4.619
O V Ga Dy
8 2 1 1
Cartesian
-1.672 -1.485 -0.887
-3.085 1.833 2.217
-4.005 -0.713 1.114
-3.439 3.406 -0.354
-2.647 2.292 -2.942
-2.765 -0.693 -3.479
-4.308 0.785 -1.323
-1.594 1.345 -0.382
-2.997 1.957 -1.250
-1.399 -1.218 -2.568
0.000 0.000 0.000
-2.767 -2.486 0.733